(1)
Entry from the Alexandria database: a relaxed structure of GdErCdSi (PBE).

Calculated values
Uncorrected formation energy = -384.3 meV/atom

Lattice parameters (Å, degrees): 5.107 5.107 5.107 60.00 60.00 60.00
Each line ends with the local moment (μB).
Fractional coordinates of all 4 atoms:
Er1 0.000 0.000 0.000  0.11
Gd1 0.500 0.500 0.500  7.08
Si1 0.750 0.750 0.750  -0.04
Cd1 0.250 0.250 0.250  -0.01



(2)
Entry from the Alexandria database: a relaxed structure of V2CuNi6 (PBE).

Calculated values
ΔE_f = -0.166 eV/atom

Lattice parameters (Å, degrees): 3.547 7.581 7.581 90.00 90.00 90.00
Fractional coordinates of all 18 atoms:
V1 0.500 0.823 0.677
Ni1 0.500 0.831 0.005
Ni2 0.500 0.169 0.995
Ni3 0.000 0.669 0.505
Ni4 0.500 0.838 0.338
V2 0.000 0.323 0.823
Ni5 0.500 0.162 0.662
Ni6 0.000 0.662 0.838
Ni7 0.000 0.005 0.169
V3 0.500 0.177 0.323
Ni8 0.000 0.338 0.162
Cu1 0.000 0.000 0.500
Cu2 0.500 0.500 0.000
V4 0.000 0.677 0.177
Ni9 0.500 0.495 0.669
Ni10 0.500 0.505 0.331
Ni11 0.000 0.331 0.495
Ni12 0.000 0.995 0.831



(3)
Entry from the Alexandria database: a relaxed structure of Ho2Th2Co (PBE).

Calculated values
ΔE_f = 0.036 eV/atom

Lattice parameters (Å, degrees): 4.872 4.872 12.096 101.62 101.62 90.00
Fractional coordinates of all 10 atoms:
Co1 0.750 0.250 0.500
Ho1 0.070 0.570 0.140
Co2 0.500 0.500 0.000
Th1 0.572 0.072 0.145
Ho2 0.180 0.180 0.360
Ho3 0.820 0.820 0.640
Th2 0.928 0.428 0.855
Ho4 0.430 0.930 0.860
Th3 0.322 0.322 0.645
Th4 0.678 0.678 0.355



(4)
Entry from the Alexandria database: a relaxed structure of PaCdCo (PBE).

Calculated values
ΔE_f = -0.279 eV/atom

Lattice parameters (Å, degrees): 3.489 3.940 8.884 90.00 101.32 90.00
Fractional coordinates of all 6 atoms:
Cd1 0.209 0.250 0.418
Pa1 0.584 0.750 0.169
Cd2 0.791 0.750 0.582
Co1 0.054 0.250 0.107
Pa2 0.416 0.250 0.831
Co2 0.946 0.750 0.893



(5)
Entry from the Alexandria database: a relaxed structure of BeHgW2 (PBE).

Calculated values
ΔE_f = 0.577 eV/atom

Lattice parameters (Å, degrees): 3.051 3.051 6.691 90.00 90.00 90.00
Fractional coordinates of all 4 atoms:
Be1 0.500 0.500 0.250
Hg1 0.500 0.500 0.750
W1 0.000 0.000 0.065
W2 0.000 0.000 0.435



(6)
Entry from the Alexandria database: a relaxed structure of Ag2TeI (PBE).

Calculated values
Uncorrected formation energy = -109.0 meV/atom

Lattice parameters (Å, degrees): 6.556 6.728 6.852 64.61 73.00 73.14
Fractional coordinates of all 8 atoms:
Ag1 0.583 0.066 0.536
Te1 0.080 0.108 0.434
Ag2 0.497 0.816 0.335
Ag3 0.990 0.563 0.291
I1 0.612 0.699 0.958
Te2 0.889 0.016 0.163
I2 0.340 0.419 0.669
Ag4 0.416 0.315 0.105



(7)
Entry from the Alexandria database: a relaxed structure of TiInTc3 (PBE).

Calculated values
ΔE_f = 1.138 eV/atom

Lattice parameters (Å, degrees): 4.567 4.567 4.567 90.00 90.00 90.00
Each line ends with the local moment (μB).
Fractional coordinates of all 5 atoms:
Tc1 0.500 0.000 0.000  0.72
In1 0.500 0.500 0.500  -0.05
Tc2 0.000 0.500 0.000  0.67
Ti1 0.000 0.000 0.000  -0.10
Tc3 0.000 0.000 0.500  0.60



(8)
Entry from the Alexandria database: a relaxed structure of H3W (PBE).

Calculated values
VASP energy = -21.2 eV per cell

Lattice parameters (Å, degrees): 2.775 2.996 3.084 90.00 90.00 90.00
Each line ends with the local moment (μB).
Fractional coordinates of all 4 atoms:
H1 0.500 0.500 0.890  0.00
H2 0.000 0.500 0.373  0.00
H3 0.500 0.000 0.419  0.00
W1 0.000 0.000 0.984  0.23



(9)
Entry from the Alexandria database: a relaxed structure of Tb4CdIr2 (PBE).

Calculated values
ΔE_f = -0.589 eV/atom

Lattice parameters (Å, degrees): 6.945 6.941 8.620 107.97 107.95 103.59
Fractional coordinates of all 14 atoms:
Ir1 0.119 0.559 0.934
Tb1 0.896 0.622 0.172
Tb2 0.441 0.023 0.295
Ir2 0.435 0.374 0.566
Cd1 0.029 0.965 0.985
Cd2 0.296 0.731 0.516
Ir3 0.588 0.199 0.056
Tb3 0.848 0.606 0.611
Tb4 0.225 0.173 0.740
Tb5 0.974 0.201 0.329
Tb6 0.487 0.744 0.889
Tb7 0.735 0.184 0.760
Ir4 0.781 0.893 0.444
Tb8 0.397 0.477 0.205



(10)
Entry from the Alexandria database: a relaxed structure of BaNaCeS3 (PBE).

Calculated values
Uncorrected formation energy = -1712.3 meV/atom

Lattice parameters (Å, degrees): 4.298 8.764 9.238 104.65 90.00 90.00
Each line ends with the local moment (μB).
Fractional coordinates of all 12 atoms:
S1 0.750 0.882 0.127  -0.01
S2 0.750 0.234 0.516  -0.01
Na1 0.250 0.090 0.584  0.00
Ce1 0.250 0.671 0.161  0.93
Ce2 0.750 0.329 0.839  0.93
S3 0.250 0.552 0.845  -0.02
Ba1 0.750 0.797 0.767  0.01
Na2 0.750 0.910 0.416  0.00
S4 0.250 0.118 0.873  -0.01
S5 0.750 0.448 0.155  -0.02
Ba2 0.250 0.203 0.233  0.01
S6 0.250 0.766 0.484  -0.01



(11)
Entry from the Alexandria database: a relaxed structure of Pm4TmTl5 (PBE).

Calculated values
ΔE_f = -0.372 eV/atom

Lattice parameters (Å, degrees): 3.798 3.798 19.852 90.00 90.00 90.00
Fractional coordinates of all 10 atoms:
Pm1 0.000 0.000 0.398
Tl1 0.500 0.500 0.705
Pm2 0.000 0.000 0.806
Tl2 0.500 0.500 0.500
Pm3 0.000 0.000 0.602
Tm1 0.000 0.000 0.000
Pm4 0.000 0.000 0.194
Tl3 0.500 0.500 0.092
Tl4 0.500 0.500 0.908
Tl5 0.500 0.500 0.295



(12)
Entry from the Alexandria database: a relaxed structure of Cd2SbTe2 (PBE).

Calculated values
Uncorrected formation energy = 207.7 meV/atom

Lattice parameters (Å, degrees): 4.266 4.266 8.771 75.92 75.92 90.00
Fractional coordinates of all 5 atoms:
Te1 0.750 0.250 0.500
Te2 0.250 0.750 0.500
Cd1 0.413 0.413 0.173
Sb1 0.000 0.000 0.000
Cd2 0.587 0.587 0.827



(13)
Entry from the Alexandria database: a relaxed structure of Ce2Se3 (PBE).

Calculated values
Uncorrected formation energy = -1727.9 meV/atom

Lattice parameters (Å, degrees): 6.043 8.132 7.625 122.22 113.34 90.00
Each line ends with the local moment (μB).
Fractional coordinates of all 10 atoms:
Se1 0.856 0.217 0.713  -0.03
Ce1 0.114 0.385 0.228  0.90
Se2 0.750 0.000 0.000  -0.04
Ce2 0.886 0.615 0.772  0.90
Ce3 0.386 0.157 0.772  0.90
Ce4 0.614 0.843 0.228  0.90
Se3 0.644 0.504 0.287  -0.03
Se4 0.144 0.783 0.287  -0.03
Se5 0.250 0.000 0.000  -0.04
Se6 0.356 0.496 0.713  -0.03



(14)
Entry from the Alexandria database: a relaxed structure of La3PmPu2S6 (PBE).

Calculated values
Uncorrected formation energy = -2015.1 meV/atom

Lattice parameters (Å, degrees): 7.034 7.034 7.084 99.51 99.51 120.00
Each line ends with the local moment (μB).
Fractional coordinates of all 12 atoms:
Pu1 0.333 0.667 0.000  5.32
Pm1 0.000 0.000 0.000  0.04
S1 0.921 0.583 0.763  -0.04
La1 0.500 0.500 0.500  0.04
S2 0.079 0.417 0.237  -0.04
Pu2 0.667 0.333 0.000  5.32
S3 0.417 0.079 0.237  -0.04
S4 0.259 0.259 0.763  -0.04
S5 0.583 0.921 0.763  -0.04
La2 0.166 0.834 0.500  0.04
S6 0.741 0.741 0.237  -0.04
La3 0.834 0.166 0.500  0.04



(15)
Entry from the Alexandria database: a relaxed structure of Mo3RhI (PBE).

Calculated values
Uncorrected formation energy = 1767.6 meV/atom

Lattice parameters (Å, degrees): 4.792 4.792 4.792 90.00 90.00 90.00
Fractional coordinates of all 5 atoms:
I1 0.500 0.500 0.500
Mo1 0.500 0.000 0.000
Mo2 0.000 0.000 0.500
Rh1 0.000 0.000 0.000
Mo3 0.000 0.500 0.000



(16)
Entry from the Alexandria database: a relaxed structure of TiWCl2 (PBE).

Calculated values
Uncorrected formation energy = -188.9 meV/atom

Lattice parameters (Å, degrees): 8.560 8.560 8.560 20.07 20.07 20.07
Fractional coordinates of all 4 atoms:
Cl1 0.903 0.903 0.903
Cl2 0.097 0.097 0.097
Ti1 0.500 0.500 0.500
W1 0.000 0.000 0.000



(17)
Entry from the Alexandria database: a relaxed structure of Fe2CoHg (PBE).

Calculated values
ΔE_f = 0.339 eV/atom

Lattice parameters (Å, degrees): 4.542 4.542 4.742 78.65 78.65 36.15
Each line ends with the local moment (μB).
Fractional coordinates of all 4 atoms:
Co1 0.260 0.260 0.203  1.59
Hg1 0.502 0.502 0.499  -0.05
Fe1 0.996 0.996 0.007  2.58
Fe2 0.741 0.741 0.791  2.73



(18)
Entry from the Alexandria database: a relaxed structure of Ba4SI2N (PBE).

Calculated values
Uncorrected formation energy = -1350.8 meV/atom

Lattice parameters (Å, degrees): 4.431 7.799 8.661 106.86 90.00 90.00
Fractional coordinates of all 8 atoms:
Ba1 0.000 0.707 0.184
Ba2 0.500 0.260 0.191
S1 0.000 0.000 0.000
I1 0.500 0.000 0.500
Ba3 0.000 0.293 0.816
Ba4 0.500 0.740 0.809
I2 0.000 0.500 0.500
N1 0.500 0.500 0.000



(19)
Entry from the Alexandria database: a relaxed structure of Al2Ag2Sb (PBE).

Calculated values
Uncorrected formation energy = 131.4 meV/atom

Lattice parameters (Å, degrees): 3.996 3.996 6.972 73.35 73.35 90.00
Fractional coordinates of all 5 atoms:
Sb1 0.000 0.000 0.000
Al1 0.399 0.399 0.203
Al2 0.601 0.601 0.797
Ag1 0.750 0.250 0.500
Ag2 0.250 0.750 0.500



(20)
Entry from the Alexandria database: a relaxed structure of KBa2Ge (PBE).

Calculated values
ΔE_f = -0.181 eV/atom

Lattice parameters (Å, degrees): 4.893 4.893 12.928 79.09 79.09 60.00
Each line ends with the local moment (μB).
Fractional coordinates of all 4 atoms:
Ba1 0.878 0.878 0.365  0.03
Ba2 0.122 0.122 0.635  0.03
K1 0.000 0.000 0.000  0.00
Ge1 0.500 0.500 0.500  0.11